PuTl2B2O6 | PBE | relaxed

It has space group R-3m (No. 166, hexagonal axes), with a = 5.5233 Å, b = 5.5233 Å, c = 19.9706 Å, α = 90.00°, β = 90.00° and γ = 120.00°. The asymmetric unit holds Pu at (0.0000, 0.0000, 0.0000), Tl at (0.0000, 0.0000, 0.2138), B at (0.0000, 0.0000, 0.3980) and O at (0.0435, 0.5218, 0.2676).

The energy relative to the elements, uncorrected comes out at -2134 meV per atom.

---

LiGaAg5 | PBE | relaxed

It has space group P4/mmm (No. 123), with a = 4.2419 Å, b = 4.2419 Å, c = 7.1019 Å, α = 90.00°, β = 90.00° and γ = 90.00°. The asymmetric unit holds Li at (0.0000, 0.0000, 0.0000), Ga at (0.5000, 0.5000, 0.5000), Ag at (0.0000, 0.5000, 0.2736) and Ag at (0.5000, 0.5000, 0.0000).

As for the calculated formation energy: -0.023 eV/atom.